MgInHg14 | PBE | relaxed

## Properties
Density of states at the Fermi level (states/eV/cell): 7.4
Formation energy from the elements (meV per atom): 1

Cell and atoms, written as CIF:
```
data_MgInHg14
_chemical_formula_sum 'Mg2 In2 Hg28'
_cell_length_a 8.439
_cell_length_b 6.405
_cell_length_c 16.134
_cell_angle_alpha 90.00
_cell_angle_beta 90.00
_cell_angle_gamma 90.00
_space_group_name_H-M_alt 'A m m 2'
_space_group_IT_number 38
loop_
_space_group_symop_operation_xyz
'x,y,z'
'-x,-y,z'
'-x,y,z'
'x,-y,z'
'x,y+1/2,z+1/2'
'-x,-y+1/2,z+1/2'
'-x,y+1/2,z+1/2'
'x,-y+1/2,z+1/2'
loop_
_atom_site_label
_atom_site_fract_x
_atom_site_fract_y
_atom_site_fract_z
Mg1 0.000 0.000 0.000
In1 0.000 0.000 0.527
Hg1 0.000 0.249 0.759
Hg2 0.235 0.000 0.137
Hg3 0.235 0.250 0.403
Hg4 0.270 0.000 0.655
Hg5 0.500 0.000 0.007
Hg6 0.500 0.000 0.505
Hg7 0.500 0.239 0.271
```